Entry from the Alexandria database: a relaxed structure of TaCdNi (GGA-PBEsol).

The space group is Fmm2 (No. 42) and the conventional cell measures 4.053, 4.061 and 11.426 Å, with angles of 90.00, 90.00 and 90.00 degrees. Symmetry generates all atoms from Ta at (0.000, 0.000, 0.000), Cd at (0.000, 0.000, 0.701) and Ni at (0.000, 0.000, 0.362).

The value obtained for the energy relative to the elements is 0.04 eV per atom. As for the total magnetic moment: 0.00 μB/f.u. The uncorrected energy comes out at -79.20 eV for the cell shown.

=====

Entry from the Alexandria database: a relaxed structure of CdHgRh2 (GGA-PBEsol).

The space group is Pmmm (No. 47) and the conventional cell measures 2.988, 4.562 and 4.775 Å, with angles of 90.00, 90.00 and 90.00 degrees. Symmetry generates all atoms from Cd at (0.000, 0.000, 0.000), Hg at (0.500, 0.000, 0.500), Rh at (0.000, 0.500, 0.500) and Rh at (0.500, 0.500, 0.000).

The value obtained for the energy relative to the elements is 0.17 eV per atom. As for the total magnetic moment: 0.00 μB/f.u. The uncorrected energy comes out at -17.35 eV for the cell shown.

=====

Entry from the Alexandria database: a relaxed structure of CoPt2Br (GGA-PBEsol).

The space group is F-43m (No. 216) and the conventional cell measures 6.265, 6.265 and 6.265 Å, with angles of 90.00, 90.00 and 90.00 degrees. Symmetry generates all atoms from Co at (0.000, 0.000, 0.000), Pt at (0.000, 0.000, 0.500), Pt at (0.250, 0.250, 0.250) and Br at (0.250, 0.250, 0.750).

The value obtained for the formation energy from raw total energies is 704.8 meV/atom. As for the total magnetic moment: 2.12 μB/f.u. The uncorrected energy comes out at -82.86 eV for the cell shown.

=====

Entry from the Alexandria database: a relaxed structure of InCo2Ru (GGA-PBEsol).

The space group is Amm2 (No. 38) and the conventional cell measures 4.029, 2.705 and 9.707 Å, with angles of 90.00, 90.00 and 90.00 degrees. Symmetry generates all atoms from In at (0.000, 0.000, 0.000), Co at (0.000, 0.000, 0.739), Co at (0.500, 0.000, 0.614) and Ru at (0.500, 0.000, 0.335).

The value obtained for the energy relative to the elements is 0.26 eV per atom. As for the total magnetic moment: 2.10 μB/f.u. The uncorrected energy comes out at -55.21 eV for the cell shown.

=====

Entry from the Alexandria database: a relaxed structure of V2O5 (GGA-PBEsol).

The space group is P2_1/m (No. 11) and the conventional cell measures 6.246, 3.550 and 7.392 Å, with angles of 90.00, 90.46 and 90.00 degrees. Symmetry generates all atoms from V at (0.194, 0.250, 0.094), V at (0.257, 0.750, 0.732), O at (0.040, 0.250, 0.287), O at (0.144, 0.750, 0.031), O at (0.258, 0.250, 0.813), O at (0.317, 0.750, 0.526) and O at (0.442, 0.250, 0.169).

The value obtained for the formation energy from raw total energies is -2257.0 meV/atom. As for the total magnetic moment: 0.00 μB/f.u. The uncorrected energy comes out at -122.63 eV for the cell shown.

=====

Entry from the Alexandria database: a relaxed structure of Tb2AlCo2 (GGA-PBEsol).

The space group is Immm (No. 71) and the conventional cell measures 4.001, 5.371 and 8.273 Å, with angles of 90.00, 90.00 and 90.00 degrees. Symmetry generates all atoms from Tb at (0.000, 0.000, 0.205), Al at (0.000, 0.500, 0.000) and Co at (0.000, 0.281, 0.500).

The value obtained for the energy relative to the elements is -0.38 eV per atom. As for the total magnetic moment: 0.00 μB/f.u. The uncorrected energy comes out at -62.93 eV for the cell shown.

=====

Entry from the Alexandria database: a relaxed structure of HgBrCl3 (GGA-PBEsol).

The space group is Pm-3m (No. 221) and the conventional cell measures 5.092, 5.092 and 5.092 Å, with angles of 90.00, 90.00 and 90.00 degrees. Symmetry generates all atoms from Hg at (0.000, 0.000, 0.000), Br at (0.500, 0.500, 0.500) and Cl at (0.000, 0.000, 0.500).

The value obtained for the formation energy from raw total energies is 70.1 meV/atom. As for the total magnetic moment: 1.63 μB/f.u. The uncorrected energy comes out at -8.11 eV for the cell shown.

=====

Entry from the Alexandria database: a relaxed structure of PrTlSe2 (GGA-PBEsol).

The space group is R-3m (No. 166, hexagonal axes) and the conventional cell measures 4.2723, 4.2723 and 22.7011 Å, with angles of 90.00, 90.00 and 120.00 degrees. Symmetry generates all atoms from Pr at (0.0000, 0.0000, 0.0000), Tl at (0.0000, 0.0000, 0.5000) and Se at (0.0000, 0.0000, 0.2609).

The value obtained for the formation energy from raw total energies is -1327.2 meV/atom. As for the total magnetic moment: 0.00 μB/f.u. The uncorrected energy comes out at -62.47 eV for the cell shown.

=====

Entry from the Alexandria database: a relaxed structure of Cd3Au2 (GGA-PBEsol).

The space group is Fdd2 (No. 43) and the conventional cell measures 10.198, 14.008 and 5.232 Å, with angles of 90.00, 90.00 and 90.00 degrees. Symmetry generates all atoms from Cd at (0.000, 0.000, 0.000), Cd at (0.047, 0.101, 0.487) and Au at (0.026, 0.203, 0.950).

The value obtained for the energy relative to the elements is -0.13 eV per atom. As for the total magnetic moment: 0.00 μB/f.u. The uncorrected energy comes out at -96.60 eV for the cell shown.

=====

Entry from the Alexandria database: a relaxed structure of Na4Cu6O5 (GGA-PBEsol).

The space group is P-62c (No. 190) and the conventional cell measures 7.6553, 7.6553 and 7.9066 Å, with angles of 90.00, 90.00 and 120.00 degrees. Symmetry generates all atoms from Na at (0.0000, 0.0000, 0.0000), Na at (0.1221, 0.3995, 0.2500), Cu at (0.1705, 0.7148, 0.5899), O at (0.0643, 0.8052, 0.7500) and O at (0.3333, 0.6667, 0.0582).

The value obtained for the formation energy from raw total energies is -809.3 meV/atom. As for the total magnetic moment: 0.00 μB/f.u. The uncorrected energy comes out at -139.98 eV for the cell shown.

=====

Entry from the Alexandria database: a relaxed structure of CsPb3Au (GGA-PBEsol).

The space group is Pm-3m (No. 221) and the conventional cell measures 5.659, 5.659 and 5.659 Å, with angles of 90.00, 90.00 and 90.00 degrees. Symmetry generates all atoms from Cs at (0.000, 0.000, 0.000), Pb at (0.000, 0.500, 0.500) and Au at (0.500, 0.500, 0.500).

The value obtained for the energy relative to the elements is 0.18 eV per atom. As for the total magnetic moment: 0.00 μB/f.u. The uncorrected energy comes out at -15.94 eV for the cell shown.

=====

Entry from the Alexandria database: a relaxed structure of LuMg16Al12 (GGA-PBEsol).

The space group is I-43m (No. 217) and the conventional cell measures 10.459, 10.459 and 10.459 Å, with angles of 90.00, 90.00 and 90.00 degrees. Symmetry generates all atoms from Lu at (0.000, 0.000, 0.000), Mg at (0.039, 0.358, 0.642), Mg at (0.177, 0.177, 0.177) and Al at (0.090, 0.090, 0.724).

The value obtained for the energy relative to the elements is -0.06 eV per atom. As for the total magnetic moment: 0.00 μB/f.u. The uncorrected energy comes out at -166.50 eV for the cell shown.

=====

Q: Which formula does entry 4 have?
A: InCo2Ru

=====

Q: Which of these has the lowest uncorrected energy?
A: LuMg16Al12